#A
First-principles (GGA-PBE) data for PmDyEr after structural relaxation, as listed in the Alexandria database.

Cell: 3.491 5.627 5.627 Å, 120.00 90.00 90.00°
Sites, in units of the cell vectors:
1 Er 0.168 0.333 0.667
2 Dy 0.667 0.667 0.333
3 Pm 0.166 0.000 0.000

Computed properties:
- Magnetic moment: 0.0 μB per formula unit
- Space-group type: P-6m2 (187)
- Volume: 31.91 Å³/atom

---

#B
First-principles (GGA-PBE) data for PmDyEr after structural relaxation, as listed in the Alexandria database.

Cell: 7.971 7.971 10.102 Å, 90.00 90.00 36.80°
Sites, in units of the cell vectors:
1 Er 0.416 0.166 0.375
2 Er 0.084 0.834 0.875
3 Er 0.584 0.334 0.625
4 Er 0.916 0.666 0.125
5 Pm 0.917 0.667 0.626
6 Pm 0.583 0.333 0.126
7 Pm 0.417 0.167 0.874
8 Pm 0.083 0.833 0.374
9 Dy 0.249 0.999 0.625
10 Dy 0.751 0.501 0.375
11 Dy 0.251 0.001 0.125
12 Dy 0.749 0.499 0.875

Computed properties:
- Magnetic moment: 0.0 μB per formula unit
- Space-group type: Cmce (64)
- Volume: 32.04 Å³/atom

---

Stability, lowest: #A

---

#A
First-principles (GGA-PBE) data for Pm2Dy9Er after structural relaxation, as listed in the Alexandria database.

Cell: 3.489 11.245 11.245 Å, 120.00 90.00 90.00°
Sites, in units of the cell vectors:
1 Pm 0.000 0.667 0.333
2 Pm 0.000 0.333 0.667
3 Dy 0.000 0.000 0.500
4 Dy 0.500 0.347 0.173
5 Dy 0.000 0.500 0.000
6 Dy 0.500 0.173 0.347
7 Dy 0.500 0.653 0.827
8 Dy 0.500 0.827 0.173
9 Dy 0.000 0.500 0.500
10 Dy 0.500 0.173 0.827
11 Dy 0.500 0.827 0.653
12 Er 0.000 0.000 0.000

Computed properties:
- Magnetic moment: 0.0 μB per formula unit
- Space-group type: P6/mmm (191)
- Volume: 31.83 Å³/atom

---

#B
First-principles (GGA-PBE) data for Pm2Dy9Er after structural relaxation, as listed in the Alexandria database.

Cell: 5.031 5.031 15.083 Å, 90.00 90.00 90.00°
Sites, in units of the cell vectors:
1 Dy 0.000 0.500 0.165
2 Dy 0.500 0.500 0.000
3 Dy 0.500 0.500 0.668
4 Dy 0.500 0.500 0.332
5 Dy 0.000 0.500 0.500
6 Dy 0.500 0.000 0.165
7 Dy 0.500 0.000 0.500
8 Dy 0.000 0.500 0.835
9 Dy 0.500 0.000 0.835
10 Pm 0.000 0.000 0.333
11 Pm 0.000 0.000 0.667
12 Er 0.000 0.000 0.000

Computed properties:
- Magnetic moment: 0.0 μB per formula unit
- Space-group type: P4/mmm (123)
- Volume: 31.82 Å³/atom

---

Stability, lowest: #A

---

#A
First-principles (GGA-PBE) data for Pm2Dy2Er after structural relaxation, as listed in the Alexandria database.

Cell: 5.883 5.883 6.350 Å, 117.59 117.59 90.00°
Sites, in units of the cell vectors:
1 Pm 0.355 0.355 0.710
2 Pm 0.645 0.645 0.290
3 Er 0.000 0.000 0.000
4 Dy 0.750 0.250 0.500
5 Dy 0.250 0.750 0.500

Computed properties:
- Magnetic moment: 0.0 μB per formula unit
- Space-group type: I4/mmm (139)
- Volume: 33.21 Å³/atom

---

#B
First-principles (GGA-PBE) data for Pm2Dy2Er after structural relaxation, as listed in the Alexandria database.

Cell: 6.120 9.883 8.633 Å, 42.28 69.24 71.96°
Sites, in units of the cell vectors:
1 Dy 0.983 0.647 0.543
2 Dy 0.172 0.853 0.957
3 Dy 0.017 0.353 0.457
4 Dy 0.828 0.147 0.043
5 Pm 0.643 0.422 0.186
6 Pm 0.749 0.922 0.686
7 Pm 0.357 0.578 0.814
8 Pm 0.251 0.078 0.314
9 Er 0.573 0.750 0.250
10 Er 0.427 0.250 0.750

Computed properties:
- Magnetic moment: 0.0 μB per formula unit
- Space-group type: C2/c (15)
- Volume: 32.76 Å³/atom

---

Stability, lowest: #A

---

#A
First-principles (GGA-PBE) data for Pm8Dy2Er3 after structural relaxation, as listed in the Alexandria database.

Cell: 11.924 6.230 6.247 Å, 80.37 94.93 110.32°
Sites, in units of the cell vectors:
1 Pm 0.653 0.614 0.922
2 Pm 0.193 0.770 0.153
3 Pm 0.115 0.460 0.692
4 Pm 0.885 0.540 0.308
5 Pm 0.270 0.077 0.615
6 Pm 0.730 0.923 0.385
7 Pm 0.807 0.230 0.847
8 Pm 0.347 0.386 0.078
9 Dy 0.424 0.695 0.539
10 Dy 0.576 0.305 0.461
11 Er 0.038 0.152 0.231
12 Er 0.500 0.000 0.000
13 Er 0.962 0.848 0.769

Computed properties:
- Magnetic moment: 0.0 μB per formula unit
- Space-group type: P-1 (2)
- Volume: 32.99 Å³/atom

---

#B
First-principles (GGA-PBE) data for Pm8Dy2Er3 after structural relaxation, as listed in the Alexandria database.

Cell: 5.690 7.694 10.862 Å, 110.74 90.01 90.00°
Sites, in units of the cell vectors:
1 Er 0.500 0.000 0.000
2 Er 0.000 0.286 0.000
3 Er 0.000 0.714 0.000
4 Pm 0.500 0.811 0.211
5 Pm 0.000 0.131 0.262
6 Pm 0.000 0.869 0.738
7 Pm 0.500 0.189 0.789
8 Pm 0.000 0.328 0.656
9 Pm 0.500 0.400 0.211
10 Pm 0.000 0.672 0.344
11 Pm 0.500 0.600 0.789
12 Dy 0.501 0.760 0.520
13 Dy 0.499 0.240 0.480

Computed properties:
- Magnetic moment: 0.0 μB per formula unit
- Space-group type: C2/m (12)
- Volume: 34.21 Å³/atom

---

Stability, lowest: #B

---

#A
First-principles (GGA-PBE) data for PmDy4Er after structural relaxation, as listed in the Alexandria database.

Cell: 6.567 6.567 6.567 Å, 60.00 60.00 60.00°
Sites, in units of the cell vectors:
1 Pm 0.250 0.250 0.250
2 Er 0.000 0.000 0.000
3 Dy 0.625 0.625 0.625
4 Dy 0.625 0.124 0.625
5 Dy 0.625 0.625 0.124
6 Dy 0.124 0.625 0.625

Computed properties:
- Magnetic moment: 0.5 μB per formula unit
- Space-group type: F-43m (216)
- Volume: 33.38 Å³/atom

---

#B
First-principles (GGA-PBE) data for PmDy4Er after structural relaxation, as listed in the Alexandria database.

Cell: 3.557 9.399 10.660 Å, 145.03 70.47 100.97°
Sites, in units of the cell vectors:
1 Dy 0.335 0.667 0.999
2 Dy 0.168 0.335 0.499
3 Dy 0.832 0.665 0.501
4 Dy 0.665 0.333 0.001
5 Er 0.000 0.000 0.000
6 Pm 0.500 0.000 0.500

Computed properties:
- Magnetic moment: 0.0 μB per formula unit
- Space-group type: P-1 (2)
- Volume: 31.69 Å³/atom

---

Stability, lowest: #A

---

#A
First-principles (GGA-PBE) data for Pm2Dy3Er6 after structural relaxation, as listed in the Alexandria database.

Cell: 6.073 6.082 11.622 Å, 84.95 79.84 60.05°
Sites, in units of the cell vectors:
1 Er 0.917 0.667 0.248
2 Er 0.584 0.333 0.248
3 Er 0.416 0.667 0.752
4 Er 0.083 0.333 0.752
5 Er 0.750 0.000 0.752
6 Er 0.250 0.000 0.248
7 Pm 0.834 0.333 0.500
8 Pm 0.166 0.667 0.500
9 Dy 0.665 0.670 0.000
10 Dy 0.335 0.330 0.000
11 Dy 0.000 0.000 0.000

Computed properties:
- Magnetic moment: 0.0 μB per formula unit
- Space-group type: C2/m (12)
- Volume: 33.28 Å³/atom

---

#B
First-principles (GGA-PBE) data for Pm2Dy3Er6 after structural relaxation, as listed in the Alexandria database.

Cell: 4.708 4.708 16.842 Å, 98.03 98.03 90.00°
Sites, in units of the cell vectors:
1 Er 0.305 0.305 0.610
2 Er 0.378 0.878 0.756
3 Er 0.122 0.622 0.244
4 Er 0.695 0.695 0.390
5 Er 0.878 0.378 0.756
6 Er 0.622 0.122 0.244
7 Dy 0.798 0.798 0.597
8 Dy 0.000 0.000 0.000
9 Dy 0.202 0.202 0.403
10 Pm 0.546 0.546 0.092
11 Pm 0.454 0.454 0.908

Computed properties:
- Magnetic moment: 0.0 μB per formula unit
- Space-group type: I4/mmm (139)
- Volume: 33.26 Å³/atom

---

Stability, lowest: #B

---

#A
First-principles (GGA-PBE) data for Pm3DyEr6 after structural relaxation, as listed in the Alexandria database.

Cell: 9.389 9.393 6.144 Å, 139.75 70.99 115.32°
Sites, in units of the cell vectors:
1 Er 0.598 0.800 0.800
2 Er 0.899 0.699 0.200
3 Er 0.699 0.098 0.598
4 Er 0.101 0.301 0.800
5 Er 0.402 0.200 0.200
6 Er 0.301 0.902 0.402
7 Pm 0.202 0.601 0.600
8 Pm 0.798 0.399 0.400
9 Pm 0.000 0.000 0.000
10 Dy 0.500 0.500 0.000

Computed properties:
- Magnetic moment: 0.0 μB per formula unit
- Space-group type: P-1 (2)
- Volume: 31.65 Å³/atom

---

#B
First-principles (GGA-PBE) data for Pm3DyEr6 after structural relaxation, as listed in the Alexandria database.

Cell: 6.243 10.912 10.912 Å, 119.61 90.00 90.00°
Sites, in units of the cell vectors:
1 Er 0.869 0.465 0.044
2 Er 0.369 0.535 0.956
3 Er 0.869 0.956 0.535
4 Er 0.040 0.712 0.618
5 Er 0.540 0.288 0.382
6 Er 0.540 0.618 0.712
7 Er 0.897 0.044 0.956
8 Er 0.397 0.956 0.044
9 Er 0.040 0.382 0.288
10 Er 0.144 0.723 0.277
11 Er 0.369 0.044 0.465
12 Er 0.644 0.277 0.723
13 Dy 0.638 0.798 0.202
14 Dy 0.138 0.202 0.798
15 Pm 0.067 0.390 0.610
16 Pm 0.461 0.938 0.716
17 Pm 0.461 0.284 0.062
18 Pm 0.961 0.716 0.938
19 Pm 0.961 0.062 0.284
20 Pm 0.567 0.610 0.390

Computed properties:
- Magnetic moment: 0.0 μB per formula unit
- Space-group type: Cmc2_1 (36)
- Volume: 32.32 Å³/atom

---

Stability, lowest: #B

---

#A
First-principles (GGA-PBE) data for PmDy5Er3 after structural relaxation, as listed in the Alexandria database.

Cell: 9.285 9.285 12.790 Å, 51.31 51.31 50.74°
Sites, in units of the cell vectors:
1 Dy 0.630 0.630 0.071
2 Dy 0.509 0.922 0.221
3 Dy 0.922 0.509 0.221
4 Dy 0.679 0.321 0.000
5 Dy 0.370 0.370 0.929
6 Dy 0.442 0.442 0.433
7 Dy 0.078 0.491 0.779
8 Dy 0.558 0.558 0.567
9 Dy 0.321 0.679 0.000
10 Dy 0.491 0.078 0.779
11 Pm 0.895 0.895 0.870
12 Pm 0.105 0.105 0.130
13 Er 0.167 0.167 0.661
14 Er 0.304 0.304 0.317
15 Er 0.833 0.833 0.339
16 Er 0.696 0.696 0.683
17 Er 0.000 0.000 0.500
18 Er 0.000 0.000 0.000

Computed properties:
- Magnetic moment: 0.0 μB per formula unit
- Space-group type: C2/m (12)
- Volume: 34.25 Å³/atom

---

#B
First-principles (GGA-PBE) data for PmDy5Er3 after structural relaxation, as listed in the Alexandria database.

Cell: 9.672 11.929 6.983 Å, 125.80 90.00 113.92°
Sites, in units of the cell vectors:
1 Dy 0.000 0.358 0.108
2 Dy 0.000 0.642 0.892
3 Dy 0.999 0.692 0.442
4 Dy 0.358 0.358 0.608
5 Dy 0.642 0.642 0.392
6 Dy 0.640 0.000 0.250
7 Dy 0.693 0.692 0.942
8 Dy 0.001 0.308 0.558
9 Dy 0.360 0.000 0.750
10 Dy 0.307 0.308 0.058
11 Er 0.331 0.662 0.662
12 Er 0.331 0.662 0.162
13 Er 0.669 0.338 0.838
14 Er 0.669 0.338 0.338
15 Er 0.000 0.000 0.000
16 Er 0.000 0.000 0.500
17 Pm 0.695 0.000 0.750
18 Pm 0.305 0.000 0.250

Computed properties:
- Magnetic moment: 0.0 μB per formula unit
- Space-group type: Cmcm (63)
- Volume: 31.44 Å³/atom

---

Stability, lowest: #A